# MgFeIO2

An optimized crystal structure of MgFeIO2 (PBE with a Hubbard U, Alexandria via LeMat-Bulk).

Cell and atoms, written as POSCAR:
```
MgFeIO2
1.0
-3.225 -1.642 1.615
1.829 -3.515 0.079
2.013 1.165 5.205
I Mg Fe O
1 1 1 2
direct
0.000 0.000 0.500
0.500 0.500 0.500
0.000 0.000 0.000
0.000 0.500 0.000
0.500 0.000 0.000
```

Properties
The calculation puts the energy above the most stable polymorph in this dataset at 0 kJ/mol of formula units. As for the density of states at the Fermi level: 1.86 states/eV/cell.